No. 1
Here is LiDyHoOs after structural relaxation from Alexandria via LeMat-Bulk. Energies are from PBE.

ρ   10.58 g/cm³
Density of states at the Fermi level   9.36 states/eV/cell
DFT total energy   -5.827 eV/atom
Energy of formation   -0.986 eV per formula unit

Cell: 6.9058 6.9058 6.9058 Å, 90.00 90.00 90.00°
With the nearest neighbours (Å) after each atom.
Space group F-43m (No. 216)
Inequivalent atoms, fractional coordinates:
1 Li 0.0000 0.0000 0.0000 [4 per cell]  4 Ho 2.99, 4 Dy 2.99
2 Dy 0.2500 0.2500 0.7500 [4 per cell]  4 Li 2.99, 4 Os 2.99
3 Ho 0.2500 0.2500 0.2500 [4 per cell]  4 Li 2.99, 4 Os 2.99
4 Os 0.0000 0.0000 0.5000 [4 per cell]  4 Dy 2.99, 4 Ho 2.99


No. 2
Here is Li2DyHo2Pb2 after structural relaxation from Alexandria via LeMat-Bulk. Energies are from PBE.

ρ   8.54 g/cm³
Density of states at the Fermi level   13.36 states/eV/cell
DFT total energy   -3.868 eV/atom
Energy of formation   -2.075 eV per formula unit

Cell: 4.8313 4.8313 26.5662 Å, 90.00 90.00 120.00°
With the nearest neighbours (Å) after each atom.
Space group R-3m (No. 166, hexagonal axes)
Inequivalent atoms, fractional coordinates:
1 Li 0.0000 0.0000 0.0959 [6 per cell]  3 Pb 2.79
2 Dy 0.0000 0.0000 0.5000 [3 per cell]  6 Pb 3.34, 6 Li 3.36, 2 Ho 3.43
3 Ho 0.0000 0.0000 0.3709 [6 per cell]  3 Li 3.19, 3 Pb 3.21, 3 Ho 3.43, 1 Dy 3.43
4 Pb 0.0000 0.0000 0.2360 [6 per cell]  3 Li 2.79


No. 3
Here is Li2Dy2HoPb2 after structural relaxation from Alexandria via LeMat-Bulk. Energies are from PBE.

ρ   8.50 g/cm³
Density of states at the Fermi level   13.70 states/eV/cell
DFT total energy   -3.872 eV/atom
Energy of formation   -2.077 eV per formula unit

Cell: 4.8290 4.8290 26.6534 Å, 90.00 90.00 120.00°
With the nearest neighbours (Å) after each atom.
Space group R-3m (No. 166, hexagonal axes)
Inequivalent atoms, fractional coordinates:
1 Li 0.0000 0.0000 0.0979 [6 per cell]  3 Pb 2.79
2 Dy 0.0000 0.0000 0.3713 [6 per cell]  3 Li 3.21, 3 Pb 3.22, 1 Ho 3.43, 3 Dy 3.44
3 Ho 0.0000 0.0000 0.5000 [3 per cell]  6 Pb 3.33, 6 Li 3.34, 2 Dy 3.43
4 Pb 0.0000 0.0000 0.2352 [6 per cell]  3 Li 2.79


No. 4
Here is LiDyHo2Pd4 after structural relaxation from Alexandria via LeMat-Bulk. Energies are from PBE.

ρ   9.60 g/cm³
Density of states at the Fermi level   13.13 states/eV/cell
DFT total energy   -5.357 eV/atom
Energy of formation   -6.417 eV per formula unit

Cell: 4.8620 4.8620 23.4482 Å, 90.00 90.00 120.00°
With the nearest neighbours (Å) after each atom.
Space group R-3m (No. 166, hexagonal axes)
Inequivalent atoms, fractional coordinates:
1 Li 0.0000 0.0000 0.0000 [3 per cell]  8 Pd 2.93-3.00
2 Dy 0.0000 0.0000 0.5000 [3 per cell]  8 Pd 2.85-2.97
3 Ho 0.0000 0.0000 0.2576 [6 per cell]  8 Pd 2.84-3.11
4 Pd 0.0000 0.0000 0.1251 [6 per cell]  1 Li 2.93, 3 Dy 2.97, 4 Ho 3.04-3.11
5 Pd 0.0000 0.0000 0.3785 [6 per cell]  4 Ho 2.84-2.90, 1 Dy 2.85, 3 Li 3.00


No. 5
Here is LiDy2HoPd4 after structural relaxation from Alexandria via LeMat-Bulk. Energies are from PBE.

ρ   9.52 g/cm³
Density of states at the Fermi level   13.47 states/eV/cell
DFT total energy   -5.357 eV/atom
Energy of formation   -6.390 eV per formula unit

Cell: 4.8714 4.8714 23.4810 Å, 90.00 90.00 120.00°
With the nearest neighbours (Å) after each atom.
Space group R-3m (No. 166, hexagonal axes)
Inequivalent atoms, fractional coordinates:
1 Li 0.0000 0.0000 0.0000 [3 per cell]  8 Pd 2.96-3.01
2 Dy 0.0000 0.0000 0.2574 [6 per cell]  8 Pd 2.85-3.09
3 Ho 0.0000 0.0000 0.5000 [3 per cell]  8 Pd 2.84-2.97
4 Pd 0.0000 0.0000 0.1259 [6 per cell]  1 Li 2.96, 3 Ho 2.97, 4 Dy 3.05-3.09
5 Pd 0.0000 0.0000 0.3790 [6 per cell]  1 Ho 2.84, 4 Dy 2.85-2.90, 3 Li 3.01


No. 6
Here is LiPmDyHo after structural relaxation from Alexandria via LeMat-Bulk. Energies are from PBE.

ρ   6.73 g/cm³
Density of states at the Fermi level   13.89 states/eV/cell
DFT total energy   -3.791 eV/atom
Energy of formation   0.679 eV per formula unit

Cell: 7.7931 7.7931 7.7931 Å, 90.00 90.00 90.00°
With the nearest neighbours (Å) after each atom.
Space group F-43m (No. 216)
Inequivalent atoms, fractional coordinates:
1 Li 0.0000 0.0000 0.0000 [4 per cell]  4 Dy 3.37, 4 Pm 3.37
2 Pm 0.2500 0.2500 0.7500 [4 per cell]  4 Li 3.37, 4 Ho 3.37
3 Dy 0.2500 0.2500 0.2500 [4 per cell]  4 Li 3.37, 4 Ho 3.37
4 Ho 0.0000 0.0000 0.5000 [4 per cell]  4 Dy 3.37, 4 Pm 3.37


No. 7
Here is LiPrDyHo after structural relaxation from Alexandria via LeMat-Bulk. Energies are from PBE.

ρ   6.56 g/cm³
Density of states at the Fermi level   15.87 states/eV/cell
DFT total energy   -3.800 eV/atom
Energy of formation   0.671 eV per formula unit

Cell: 7.8381 7.8381 7.8381 Å, 90.00 90.00 90.00°
With the nearest neighbours (Å) after each atom.
Space group F-43m (No. 216)
Inequivalent atoms, fractional coordinates:
1 Li 0.0000 0.0000 0.0000 [4 per cell]  4 Dy 3.39, 4 Pr 3.39
2 Pr 0.2500 0.2500 0.2500 [4 per cell]  4 Li 3.39, 4 Ho 3.39
3 Dy 0.2500 0.2500 0.7500 [4 per cell]  4 Li 3.39, 4 Ho 3.39
4 Ho 0.0000 0.0000 0.5000 [4 per cell]  4 Pr 3.39, 4 Dy 3.39


No. 8
Here is LiDyHoPt after structural relaxation from Alexandria via LeMat-Bulk. Energies are from PBE.

ρ   10.16 g/cm³
Density of states at the Fermi level   13.07 states/eV/cell
DFT total energy   -4.959 eV/atom
Energy of formation   -2.702 eV per formula unit

Cell: 7.0222 7.0222 7.0222 Å, 90.00 90.00 90.00°
With the nearest neighbours (Å) after each atom.
Space group F-43m (No. 216)
Inequivalent atoms, fractional coordinates:
1 Li 0.0000 0.0000 0.0000 [4 per cell]  4 Dy 3.04, 4 Ho 3.04
2 Dy 0.2500 0.2500 0.7500 [4 per cell]  4 Li 3.04, 4 Pt 3.04
3 Ho 0.2500 0.2500 0.2500 [4 per cell]  4 Li 3.04, 4 Pt 3.04
4 Pt 0.0000 0.0000 0.5000 [4 per cell]  4 Dy 3.04, 4 Ho 3.04


No. 9
Here is LiDyHoRe after structural relaxation from Alexandria via LeMat-Bulk. Energies are from PBE.

ρ   10.32 g/cm³
Density of states at the Fermi level   13.19 states/eV/cell
DFT total energy   -5.828 eV/atom
Energy of formation   0.229 eV per formula unit

Cell: 6.9445 6.9445 6.9445 Å, 90.00 90.00 90.00°
With the nearest neighbours (Å) after each atom.
Space group F-43m (No. 216)
Inequivalent atoms, fractional coordinates:
1 Li 0.0000 0.0000 0.0000 [4 per cell]  4 Dy 3.01, 4 Ho 3.01
2 Dy 0.2500 0.2500 0.7500 [4 per cell]  4 Li 3.01, 4 Re 3.01
3 Ho 0.2500 0.2500 0.2500 [4 per cell]  4 Li 3.01, 4 Re 3.01
4 Re 0.0000 0.0000 0.5000 [4 per cell]  4 Ho 3.01, 4 Dy 3.01


No. 10
Here is LiDyHo2Rh4 after structural relaxation from Alexandria via LeMat-Bulk. Energies are from PBE.

ρ   10.30 g/cm³
Density of states at the Fermi level   9.18 states/eV/cell
DFT total energy   -6.368 eV/atom
Energy of formation   -5.863 eV per formula unit

Cell: 4.6954 4.6954 23.0703 Å, 90.00 90.00 120.00°
With the nearest neighbours (Å) after each atom.
Space group R-3m (No. 166, hexagonal axes)
Inequivalent atoms, fractional coordinates:
1 Li 0.0000 0.0000 0.0000 [3 per cell]  8 Rh 2.85-2.89
2 Dy 0.0000 0.0000 0.5000 [3 per cell]  8 Rh 2.84-2.89
3 Ho 0.0000 0.0000 0.2579 [6 per cell]  7 Rh 2.74-2.93
4 Rh 0.0000 0.0000 0.1237 [6 per cell]  1 Li 2.85, 3 Dy 2.89, 4 Ho 2.93-3.10
5 Rh 0.0000 0.0000 0.3768 [6 per cell]  4 Ho 2.74-2.81, 1 Dy 2.84, 3 Li 2.89


No. 11
Here is Li3Dy2HoS6 after structural relaxation from Alexandria via LeMat-Bulk. Energies are from PBE.

ρ   4.77 g/cm³
Density of states at the Fermi level   0.00 states/eV/cell
DFT total energy   -5.543 eV/atom
Energy relative to the elements, uncorrected   -22.22 eV/f.u.

Cell: 6.7674 11.7228 6.5706 Å, 90.00 110.06 90.00°
With the nearest neighbours (Å) after each atom.
Space group C2/m (No. 12)
Inequivalent atoms, fractional coordinates:
1 Li 0.0000 0.0000 0.0000 [2 per cell]  6 S 2.73-2.74
2 Li 0.0000 0.3341 0.0000 [4 per cell]  6 S 2.72-2.75
3 Dy 0.0000 0.1667 0.5000 [4 per cell]  6 S 2.74
4 Ho 0.0000 0.5000 0.5000 [2 per cell]  6 S 2.73
5 S 0.2494 0.3339 0.7503 [8 per cell]  1 Ho 2.73, 3 Li 2.73-2.75, 2 Dy 2.74
6 S 0.2490 0.5000 0.2500 [4 per cell]  3 Li 2.72-2.74, 1 Ho 2.73, 2 Dy 2.74


No. 12
Here is Li2Dy3HoS6 after structural relaxation from Alexandria via LeMat-Bulk. Energies are from PBE.

ρ   5.82 g/cm³
Density of states at the Fermi level   4.98 states/eV/cell
DFT total energy   -5.824 eV/atom
Energy relative to the elements, uncorrected   -22.91 eV/f.u.

Cell: 6.6985 11.5988 6.6873 Å, 90.00 109.49 90.00°
With the nearest neighbours (Å) after each atom.
Space group C2/m (No. 12)
Inequivalent atoms, fractional coordinates:
1 Li 0.0000 0.1671 0.0000 [4 per cell]  6 S 2.70-2.71
2 Dy 0.0000 0.0000 0.5000 [2 per cell]  6 S 2.73-2.77
3 Dy 0.0000 0.3325 0.5000 [4 per cell]  6 S 2.73-2.77
4 Ho 0.0000 0.5000 0.0000 [2 per cell]  6 S 2.73
5 S 0.2451 0.0000 0.2448 [4 per cell]  2 Li 2.71, 1 Ho 2.73, 3 Dy 2.73-2.77
6 S 0.2494 0.3317 0.2429 [8 per cell]  2 Li 2.70, 1 Ho 2.73, 3 Dy 2.73-2.77


Which formula does entry 8 have? LiDyHoPt